[1]
DFT (PBE) results for a geometry-optimized Zn2FeAs structure.

Cell and atoms, written as CIF:
```
data_Zn2FeAs
_chemical_formula_sum 'Zn2 Fe1 As1'
_cell_length_a 3.446
_cell_length_b 3.446
_cell_length_c 4.951
_cell_angle_alpha 90.00
_cell_angle_beta 90.00
_cell_angle_gamma 90.00
_symmetry_space_group_name_H-M 'P 4/m m m'
_symmetry_Int_Tables_number 123
_symmetry_space_group_name_Hall '-P 4 2'
loop_
_atom_site_label
_atom_site_type_symbol
_atom_site_fract_x
_atom_site_fract_y
_atom_site_fract_z
Zn1 Zn 0.000 0.000 0.240
Fe1 Fe 0.500 0.500 0.000
As1 As 0.500 0.500 0.500
```

Summary:
Calculated volume   14.7 Å³ per atom
ΔH_f (0 K)   0.13 eV per atom

=====

[2]
DFT (PBE) results for a geometry-optimized KSe2Cl8 structure.

Cell and atoms, written as CIF:
```
data_KSe2Cl8
_chemical_formula_sum 'K1 Se2 Cl8'
_cell_length_a 9.1317
_cell_length_b 9.1317
_cell_length_c 5.2016
_cell_angle_alpha 90.00
_cell_angle_beta 90.00
_cell_angle_gamma 120.00
_symmetry_space_group_name_H-M 'P -3'
_symmetry_Int_Tables_number 147
loop_
_symmetry_equiv_pos_as_xyz
'x,y,z'
'-x,-y,-z'
'-y,x-y,z'
'y,-x+y,-z'
'-x+y,-x,z'
'x-y,x,-z'
loop_
_atom_site_label
_atom_site_type_symbol
_atom_site_fract_x
_atom_site_fract_y
_atom_site_fract_z
K1 K 0.0000 0.0000 0.0000
Se1 Se 0.3333 0.6667 0.2639
Cl1 Cl 0.1848 0.3724 0.2731
Cl2 Cl 0.3333 0.6667 0.7712
```

Summary:
Calculated volume   34.2 Å³ per atom
ΔE_f (raw)   -0.49 eV per atom